{
  "formula": "LaMgNi4",
  "functional": "PBE",
  "state": "optimized geometry",
  "delta_e_f_ev_per_atom": -0.3133,
  "lattice_angstrom": [[0.000, 3.568, 3.568], [3.568, 0.000, 3.568], [3.568, 3.568, 0.000]],
  "species": ["La", "Mg", "Ni", "Ni", "Ni", "Ni"],
  "frac_coords": [[0.000, 0.000, 0.000], [0.750, 0.750, 0.750], [0.377, 0.377, 0.377], [0.377, 0.377, 0.870], [0.377, 0.870, 0.377], [0.870, 0.377, 0.377]]
}